# 1
Density functional theory data (GGA-PBE) for crystalline LaInBr2 at its relaxed geometry.

a b c (Å): 10.5044 10.5044 10.5044
angles (deg): 21.51 21.51 21.51
Closest atoms and distances in Å follow each position.
Fractional coordinates of all 4 atoms:
1 Br 0.2309 0.2309 0.2309  3 In 2.95
2 Br 0.0171 0.0171 0.0171  3 La 3.03
3 In 0.5026 0.5026 0.5026  3 Br 2.95
4 La 0.7494 0.7494 0.7494  3 Br 3.03

Output
* calculated total energy: -3.6739 eV per atom
* V: 34.1 Å³/atom
* DOS at the Fermi energy: 2.52 states/eV/f.u.


# 2
Density functional theory data (GGA-PBE) for crystalline LiPmCuSn2 at its relaxed geometry.

a b c (Å): 4.3565 4.3565 6.5435
angles (deg): 109.44 109.44 90.00
Closest atoms and distances in Å follow each position.
Fractional coordinates of all 5 atoms:
1 Sn 0.3777 0.3777 0.7554  2 Cu 2.63, 2 Li 2.63, 1 Sn 2.82
2 Cu 0.2500 0.7500 0.5000  4 Sn 2.63
3 Sn 0.6223 0.6223 0.2446  2 Cu 2.63, 2 Li 2.63, 1 Sn 2.82
4 Pm 0.0000 0.0000 0.0000  8 Sn 3.39, 4 Li 3.62, 4 Cu 3.62
5 Li 0.7500 0.2500 0.5000  4 Sn 2.63

Output
* energy relative to the elements: -0.47 eV per atom
* V: 21.9 Å³/atom
* DOS at the Fermi energy: 1.47 states/eV/f.u.


# 3
Density functional theory data (GGA-PBE) for crystalline CsNaHoTe2 at its relaxed geometry.

a b c (Å): 7.5872 6.8346 9.0492
angles (deg): 112.19 90.00 90.00
Closest atoms and distances in Å follow each position.
Fractional coordinates of all 10 atoms:
1 Na 0.0000 0.5000 0.0000  2 Te 2.94
2 Te 0.2925 0.3848 0.7695  1 Na 2.94, 2 Ho 3.02
3 Na 0.0000 0.0000 0.0000  2 Te 2.94
4 Ho 0.5000 0.7500 0.0000  4 Te 3.02
5 Te 0.7075 0.8848 0.7695  1 Na 2.94, 2 Ho 3.02
6 Ho 0.5000 0.2500 0.0000  4 Te 3.02
7 Cs 0.7426 0.2500 0.5000  6 Te 4.09-4.10
8 Cs 0.2574 0.7500 0.5000  6 Te 4.09-4.10
9 Te 0.2925 0.1152 0.2305  1 Na 2.94, 2 Ho 3.02
10 Te 0.7075 0.6152 0.2305  1 Na 2.94, 2 Ho 3.02

Output
* calculated total energy: -3.5283 eV per atom
* V: 43.5 Å³/atom
* DOS at the Fermi energy: 2.54 states/eV/f.u.


# 4
Density functional theory data (GGA-PBE) for crystalline Hg4AsPBr2 at its relaxed geometry.

a b c (Å): 8.6036 8.6036 8.0549
angles (deg): 117.91 117.91 96.53
Closest atoms and distances in Å follow each position.
Fractional coordinates of all 16 atoms:
1 Hg 0.2693 0.6958 0.4825  1 P 2.74, 2 As 2.80-2.81, 2 Br 3.00
2 As 0.0000 0.5000 0.5000  6 Hg 2.80-2.87
3 Hg 0.8042 0.2307 0.0175  1 P 2.74, 2 As 2.80-2.81, 2 Br 3.00
4 Hg 0.7771 0.7230 0.9744  2 P 2.74, 1 As 2.87, 2 Br 3.03
5 Hg 0.1958 0.7693 0.9825  1 P 2.74, 2 As 2.80-2.81, 2 Br 3.00
6 Br 0.5000 0.0000 0.0000  4 Hg 3.00
7 Hg 0.7770 0.7229 0.5256  2 P 2.74, 1 As 2.87, 2 Br 3.03
8 Hg 0.2229 0.2770 0.0256  2 P 2.74, 1 As 2.87, 2 Br 3.03
9 Br 0.5000 0.5000 0.0000  4 Hg 3.03
10 P 0.0000 0.0000 0.0000  6 Hg 2.74
11 P 0.5000 0.5000 0.5000  6 Hg 2.74
12 Hg 0.2230 0.2771 0.4744  2 P 2.74, 1 As 2.87, 2 Br 3.03
13 As 0.0000 0.5000 0.0000  6 Hg 2.80-2.87
14 Br 0.0000 0.0000 0.5000  4 Hg 3.03
15 Hg 0.7307 0.3042 0.5175  1 P 2.74, 2 As 2.80-2.81, 2 Br 3.00
16 Br 0.5000 0.0000 0.5000  4 Hg 3.00

Output
* calculated total energy: -1.7860 eV per atom
* V: 26.3 Å³/atom
* DOS at the Fermi energy: 3.14 states/eV/f.u.


# 5
Density functional theory data (GGA-PBE) for crystalline ZrTa2Tc at its relaxed geometry.

a b c (Å): 4.6667 4.6667 4.6667
angles (deg): 120.02 120.02 89.96
Closest atoms and distances in Å follow each position.
Fractional coordinates of all 4 atoms:
1 Ta 0.0000 0.0000 0.0000  4 Zr 2.86, 4 Ta 2.86
2 Tc 0.5000 0.5000 0.0000  4 Ta 2.86, 4 Zr 2.86
3 Ta 0.2500 0.7500 0.5000  4 Ta 2.86, 4 Tc 2.86
4 Zr 0.7500 0.2500 0.5000  4 Ta 2.86, 4 Tc 2.86

Output
* energy relative to the elements: -0.09 eV per atom
* V: 18.0 Å³/atom
* DOS at the Fermi energy: 5.05 states/eV/f.u.


# 6
Density functional theory data (GGA-PBE) for crystalline Cd2CuAs at its relaxed geometry.

a b c (Å): 9.7554 9.7554 9.7554
angles (deg): 18.08 18.08 18.08
Closest atoms and distances in Å follow each position.
Fractional coordinates of all 4 atoms:
1 Cd 0.2370 0.2370 0.2370  3 Cu 2.83, 6 Cd 3.07
2 Cu 0.4934 0.4934 0.4934  3 As 2.52
3 As 0.7643 0.7643 0.7643  3 Cu 2.52
4 Cd 0.0052 0.0052 0.0052  9 Cd 3.07-3.42, 3 As 3.19

Output
* energy relative to the elements: 0.14 eV per atom
* V: 19.5 Å³/atom
* DOS at the Fermi energy: 1.01 states/eV/f.u.


> Among the records above, which one has the lowest DOS at the Fermi energy?

Cd2CuAs


> The highest DOS at the Fermi energy belongs to which entry?

ZrTa2Tc


> The lowest V belongs to which entry?

ZrTa2Tc